Below is a relaxed structure of NaTiIn3, with properties calculated at the PBE level.

Values from the calculation:
As for the total energy: -3.227 eV/atom. The distance to the lowest polymorph of the same formula comes out at 0.00 eV per formula unit. The formation energy comes out at 125.0 kJ/mol of formula units.

Cell lengths 5.412, 5.412, 5.412 Å; angles 90.00, 90.00, 90.00 degrees
Space group Pm-3m (No. 221)
Inequivalent atoms, fractional coordinates:
Na 0.000 0.000 0.000 [1 per cell]
Ti 0.500 0.500 0.500 [1 per cell]
In 0.000 0.500 0.500 [3 per cell]


Below is a relaxed structure of V6HPt2N, with properties calculated at the PBE level.

Values from the calculation:
As for the total energy: -8.400 eV/atom.

Cell lengths 7.695, 7.842, 7.870 Å; angles 90.00, 90.00, 90.00 degrees
Space group Fmmm (No. 69)
Inequivalent atoms, fractional coordinates:
V 0.000 0.000 0.248 [8 per cell]
V 0.000 0.248 0.000 [8 per cell]
V 0.243 0.000 0.000 [8 per cell]
H 0.000 0.000 0.000 [4 per cell]
Pt 0.250 0.250 0.250 [8 per cell]
N 0.000 0.000 0.500 [4 per cell]


Below is a relaxed structure of Cs3Tb2ScSe6, with properties calculated at the PBE level.

Values from the calculation:
As for the total energy: -4.926 eV/atom. Its uncorrected formation energy is -161 kJ per mole of atoms.

Cell lengths 7.303, 12.646, 8.696 Å; angles 90.00, 106.27, 90.00 degrees
Space group C2/m (No. 12)
Inequivalent atoms, fractional coordinates:
Cs 0.000 0.000 0.000 [2 per cell]
Cs 0.000 0.331 0.000 [4 per cell]
Tb 0.000 0.166 0.500 [4 per cell]
Sc 0.000 0.500 0.500 [2 per cell]
Se 0.221 0.340 0.682 [8 per cell]
Se 0.240 0.000 0.684 [4 per cell]


Number 3 is which compound?
Cs3Tb2ScSe6


What is the formula in the first record?
NaTiIn3


Among the records above, which one has the highest total energy?
NaTiIn3